First-principles (PBEsol) data for a relaxed structure of Nb2TlZnBi, as listed in the Alexandria database.

Unit cell a=5.258 b=5.258 c=5.733 alpha=90.00 beta=90.00 gamma=90.00
Site moments in Bohr magnetons follow the coordinates.
Element x y z (fractional)
Zn  0.500  0.500  0.500  -0.02
Tl  0.000  0.000  0.500  0.01
Bi  0.000  0.000  0.000  -0.03
Nb  0.000  0.500  0.000  1.13
Nb  0.500  0.000  0.000  1.13

Output
Energy (eV for the cell shown): -20.9
Volume (Å³/atom): 31.69